Entry 1:
Na4CO4: relaxed, PBE.

The structure in POSCAR format:
```
Na4CO4
1.0
-3.7245 3.7245 2.4137
3.7245 -3.7245 2.4137
3.7245 3.7245 -2.4137
Na C O
4 1 4
Direct
0.9747 0.9747 0.6524
0.0253 0.6777 0.0000
0.3223 0.3223 0.3476
0.6777 0.0253 0.0000
0.5000 0.5000 0.0000
0.4428 0.2191 0.0000
0.5572 0.5572 0.7763
0.2191 0.4428 0.0000
0.7809 0.7809 0.2237
```

Results
Energy relative to the lowest polymorph listed for this composition ... 0.084 eV per atom
Space group ... No. 121
Final energy ... -5.228 eV/atom
DOS at the Fermi energy ... 0.00 states/eV per cell

=====

Entry 2:
Na2CO3: relaxed, PBE.

The structure in POSCAR format:
```
Na2CO3
1.0
5.2118 -0.0092 0.0200
2.4852 4.5811 0.0200
1.0937 0.6497 6.0105
Na C O
4 2 6
Direct
0.3297 0.3297 0.7470
0.6703 0.6703 0.2530
0.0000 0.0000 0.0000
0.0000 0.0000 0.5000
0.6631 0.6631 0.7514
0.3369 0.3369 0.2486
0.7881 0.7881 0.8275
0.1890 0.6104 0.2872
0.3896 0.8110 0.7128
0.6104 0.1890 0.2872
0.8110 0.3896 0.7128
0.2119 0.2119 0.1725
```

Results
Space group ... No. 12
Final energy ... -6.180 eV/atom
DOS at the Fermi energy ... 0.00 states/eV per cell

=====

Entry 3:
NaC3O3: relaxed, PBE.

The structure in POSCAR format:
```
NaC3O3
1.0
0.0000 5.9223 7.2516
4.0215 0.0000 7.2516
4.0215 5.9223 0.0000
Na C O
4 12 12
Direct
0.8513 0.1487 0.8513
0.1013 0.3987 0.1013
0.3987 0.1013 0.3987
0.1487 0.8513 0.1487
0.6480 0.6480 0.8520
0.9502 0.6509 0.5327
0.5991 0.2998 0.3839
0.5327 0.8661 0.9502
0.6509 0.9502 0.8661
0.3980 0.3980 0.6020
0.7173 0.3839 0.2998
0.3839 0.7173 0.5991
0.2998 0.5991 0.7173
0.6020 0.6020 0.3980
0.8661 0.5327 0.6509
0.8520 0.8520 0.6480
0.5719 0.1127 0.9738
0.3113 0.3113 0.6887
0.1127 0.5719 0.3417
0.1373 0.6781 0.9083
0.9387 0.9387 0.5613
0.6781 0.1373 0.2762
0.3417 0.9738 0.1127
0.6887 0.6887 0.3113
0.9738 0.3417 0.5719
0.9083 0.2762 0.1373
0.2762 0.9083 0.6781
0.5613 0.5613 0.9387
```

Results
Space group ... No. 70
Final energy ... -7.186 eV/atom

=====

Calculated values (meV per atom) of formation energy from raw total energies for the records, taken in order: -1413 -1724 -920.